Mn3AgF: optimized geometry, PBE with a Hubbard U.

## Properties
Electronic total energy (eV per cell): -27.7

Unit cell a=4.4431 b=4.4431 c=4.4431 alpha=90.00 beta=90.00 gamma=90.00
Space group Pm-3m (No. 221)
Unique sites:
Mn: 0.0000 0.0000 0.5000 x3
Ag: 0.5000 0.5000 0.5000 x1
F: 0.0000 0.0000 0.0000 x1